[1]
A plane-wave DFT calculation with PBE was carried out for a geometry-optimized Ni2PtAu structure.

Structure (POSCAR):
```
Ni2PtAu
1.0
5.5909 0.0000 0.0000
0.0000 7.2191 0.0000
0.0000 0.0000 2.7626
Ni Pt Au
4 2 2
direct
0.2500 0.2500 0.0000
0.2500 0.7500 0.0000
0.7500 0.2500 0.0000
0.7500 0.7500 0.0000
0.0000 0.0000 0.5000
0.5000 0.5000 0.5000
0.0000 0.5000 0.5000
0.5000 0.0000 0.5000
```

Summary:
- Space-group type: Cmmm
- Size of the total moment: 2.56 Bohr magnetons per cell
- E: -5.20 eV/atom
- ρ: 15.174 g/cm3
- Energy above the lowest structure with this stoichiometry: 0.026 eV/atom



[2]
A plane-wave DFT calculation with PBE was carried out for a geometry-optimized NiPt2Au structure.

Structure (POSCAR):
```
NiPt2Au
1.0
2.7961 0.0000 0.0000
0.0000 2.7961 0.0000
0.0000 0.0000 7.7490
Ni Pt Au
1 2 1
direct
0.0000 0.0000 0.0000
0.0000 0.0000 0.4801
0.5000 0.5000 0.2189
0.5000 0.5000 0.7580
```

Summary:
- Space-group type: P4mm
- Size of the total moment: 1.24 Bohr magnetons per cell
- E: -5.28 eV/atom
- ρ: 17.702 g/cm3
- Energy above the lowest structure with this stoichiometry: 0.045 eV/atom



[3]
A plane-wave DFT calculation with PBE was carried out for a geometry-optimized Ni2PtAu structure.

Structure (POSCAR):
```
Ni2PtAu
1.0
8.6217 0.0000 0.0000
0.0000 2.7755 0.0000
-0.8886 0.0000 4.7663
Ni Pt Au
4 2 2
direct
0.2467 0.0000 0.2294
0.2533 0.5000 0.7706
0.7467 0.5000 0.2294
0.7533 0.0000 0.7706
0.0000 0.5000 0.0000
0.5000 0.0000 0.0000
0.0000 0.0000 0.5000
0.5000 0.5000 0.5000
```

Summary:
- Space-group type: C2/m
- Size of the total moment: 3.28 Bohr magnetons per cell
- E: -5.13 eV/atom
- ρ: 14.834 g/cm3
- Energy above the lowest structure with this stoichiometry: 0.094 eV/atom



[4]
A plane-wave DFT calculation with PBE was carried out for a geometry-optimized Ni2PtAu structure.

Structure (POSCAR):
```
Ni2PtAu
1.0
6.1201 0.0000 0.0000
0.0000 6.1201 0.0000
0.0000 0.0000 6.1201
Ni Pt Au
8 4 4
direct
0.0000 0.0000 0.0000
0.0000 0.5000 0.5000
0.2500 0.2500 0.2500
0.2500 0.7500 0.7500
0.5000 0.0000 0.5000
0.5000 0.5000 0.0000
0.7500 0.2500 0.7500
0.7500 0.7500 0.2500
0.2500 0.2500 0.7500
0.2500 0.7500 0.2500
0.7500 0.2500 0.2500
0.7500 0.7500 0.7500
0.0000 0.0000 0.5000
0.0000 0.5000 0.0000
0.5000 0.0000 0.0000
0.5000 0.5000 0.5000
```

Summary:
- Space-group type: F-43m
- Size of the total moment: 5.56 Bohr magnetons per cell
- E: -5.04 eV/atom
- ρ: 14.761 g/cm3
- Energy above the lowest structure with this stoichiometry: 0.184 eV/atom



Q: Which of these has the highest E?
A: number 4